# NaCr3Ir

A relaxed structure of NaCr3Ir (GGA-PBE, Alexandria).

a b c (Å): 4.5838 4.5838 4.5838
angles (deg): 90.00 90.00 90.00
Fractional positions:
Na (0.0000, 0.0000, 0.0000)
Cr (0.0000, 0.0000, 0.5000)
Cr (0.0000, 0.5000, 0.0000)
Cr (0.5000, 0.0000, 0.0000)
Ir (0.5000, 0.5000, 0.5000)

Values from the calculation:
- energy of formation from the pure elements (kJ per mole of atoms) = 214
- offset from the most stable computed form (meV per atom) = 1203